CeCdRu2 | GGA-PBE | relaxed

Computed properties:
* crystal system: tetragonal
* formation energy: -20 meV per atom
* distance to the lowest polymorph of the same formula: 0.0844 eV per atom

Cell lengths 3.3827, 3.3827, 6.4041 Å; angles 90.00, 90.00, 90.00 degrees
Element x y z (fractional)
Ce: 0.0000 0.0000 0.0000
Cd: 0.0000 0.0000 0.5000
Ru: 0.5000 0.5000 0.2346
Ru: 0.5000 0.5000 0.7654